LiCaHo2Pd4: optimized geometry, PBE-GGA.

abc: 4.8248 4.8248 8.3908
angles: 73.29 73.29 60.00
Sites, in units of the cell vectors:
Pd 0.6192 0.6192 0.1424
Li 0.5000 0.5000 0.5000
Ho 0.7558 0.7558 0.7326
Pd 0.8747 0.8747 0.3760
Pd 0.1253 0.1253 0.6240
Pd 0.3808 0.3808 0.8576
Ca 0.0000 0.0000 0.0000
Ho 0.2442 0.2442 0.2674

Summary:
Size of the total moment = 0.00 Bohr magnetons per cell
Density = 8.35 g/cm³
Fermi-level density of states = 0.43 states/eV/atom
Energy of formation = -0.73 eV/atom
Space group = R-3m (166)
VASP energy = -39.705 eV per cell